Arrangement 1

A geometry-optimized BaTaAl2 structure. Source: Alexandria, functional GGA-PBEsol.

a b c (Å): 3.045 3.990 7.427
angles (deg): 90.00 90.00 90.00
Space group Pmmm (No. 47)
Inequivalent atoms, fractional coordinates:
Ba  0.000  0.000  0.000 [1 per cell]
Ta  0.000  0.000  0.500 [1 per cell]
Al  0.500  0.500  0.323 [2 per cell]

Arrangement 2

A geometry-optimized BaTaAl2 structure. Source: Alexandria, functional GGA-PBEsol.

a b c (Å): 3.154 3.154 8.848
angles (deg): 90.00 90.00 90.00
Space group P4mm (No. 99)
Inequivalent atoms, fractional coordinates:
Ba  0.000  0.000  0.000 [1 per cell]
Ta  0.500  0.500  0.335 [1 per cell]
Al  0.000  0.000  0.519 [1 per cell]
Al  0.500  0.500  0.701 [1 per cell]

Which structure is most stable, and how do the rest compare? From most to least stable: arrangement 1, arrangement 2.

Arrangement 1

A geometry-optimized BaAl2Tl structure. Source: Alexandria, functional GGA-PBEsol.

a b c (Å): 5.179 5.179 19.255
angles (deg): 90.00 90.00 90.00
Space group I4_1/amd (No. 141, origin choice 2)
Inequivalent atoms, fractional coordinates:
Ba  0.000  0.250  0.375 [4 per cell]
Al  0.000  0.000  0.000 [8 per cell]
Tl  0.000  0.250  0.875 [4 per cell]

Arrangement 2

A geometry-optimized BaAl2Tl structure. Source: Alexandria, functional GGA-PBEsol.

a b c (Å): 3.668 3.668 7.736
angles (deg): 90.00 90.00 90.00
Space group P4mm (No. 99)
Inequivalent atoms, fractional coordinates:
Ba  0.000  0.000  0.000 [1 per cell]
Al  0.000  0.000  0.539 [1 per cell]
Al  0.500  0.500  0.694 [1 per cell]
Tl  0.500  0.500  0.319 [1 per cell]

Which structure is most stable, and how do the rest compare? From most to least stable: arrangement 2, arrangement 1.

Arrangement 1

A geometry-optimized BeAl2Br structure. Source: Alexandria, functional GGA-PBEsol.

a b c (Å): 3.5339 3.5339 19.8071
angles (deg): 90.00 90.00 120.00
Space group R-3m (No. 166, hexagonal axes)
Inequivalent atoms, fractional coordinates:
Be  0.0000  0.0000  0.0000 [3 per cell]
Al  0.0000  0.0000  0.2747 [6 per cell]
Br  0.0000  0.0000  0.5000 [3 per cell]

Arrangement 2

A geometry-optimized BeAl2Br structure. Source: Alexandria, functional GGA-PBEsol.

a b c (Å): 3.635 4.563 4.620
angles (deg): 90.00 102.41 90.00
Space group P2/m (No. 10)
Inequivalent atoms, fractional coordinates:
Be  0.000  0.000  0.000 [1 per cell]
Al  0.170  0.500  0.782 [2 per cell]
Br  0.500  0.000  0.500 [1 per cell]

Which structure is most stable, and how do the rest compare? From most to least stable: arrangement 1, arrangement 2.

Arrangement 1

A geometry-optimized BeAlBr structure. Source: Alexandria, functional GGA-PBEsol.

a b c (Å): 3.1667 3.1667 7.3493
angles (deg): 90.00 90.00 120.00
Space group P3m1 (No. 156)
Inequivalent atoms, fractional coordinates:
Be  0.0000  0.0000  0.0000 [1 per cell]
Al  0.3333  0.6667  0.2679 [1 per cell]
Br  0.6667  0.3333  0.8179 [1 per cell]

Arrangement 2

A geometry-optimized BeAlBr structure. Source: Alexandria, functional GGA-PBEsol.

a b c (Å): 3.206 5.671 14.214
angles (deg): 90.00 90.00 90.00
Space group Fmm2 (No. 42)
Inequivalent atoms, fractional coordinates:
Be  0.000  0.000  0.000 [4 per cell]
Al  0.000  0.000  0.361 [4 per cell]
Br  0.000  0.000  0.604 [4 per cell]

Which structure is most stable, and how do the rest compare? From most to least stable: arrangement 1, arrangement 2.

Arrangement 1

A geometry-optimized Be2AlBr structure. Source: Alexandria, functional GGA-PBEsol.

a b c (Å): 2.987 2.987 6.697
angles (deg): 90.00 90.00 90.00
Space group P4/mmm (No. 123)
Inequivalent atoms, fractional coordinates:
Be  0.000  0.000  0.230 [2 per cell]
Al  0.500  0.500  0.000 [1 per cell]
Br  0.500  0.500  0.500 [1 per cell]

Arrangement 2

A geometry-optimized Be2AlBr structure. Source: Alexandria, functional GGA-PBEsol.

a b c (Å): 6.979 4.056 5.817
angles (deg): 90.00 119.70 90.00
Space group C2/m (No. 12)
Inequivalent atoms, fractional coordinates:
Be  0.187  0.000  0.042 [4 per cell]
Al  0.000  0.500  0.000 [2 per cell]
Br  0.000  0.500  0.500 [2 per cell]

Which structure is most stable, and how do the rest compare? From most to least stable: arrangement 2, arrangement 1.

Arrangement 1

A geometry-optimized Be2AlBr structure. Source: Alexandria, functional GGA-PBEsol.

a b c (Å): 3.137 5.552 7.406
angles (deg): 90.00 90.00 90.00
Space group Cmmm (No. 65)
Inequivalent atoms, fractional coordinates:
Be  0.000  0.000  0.250 [4 per cell]
Al  0.000  0.500  0.000 [2 per cell]
Br  0.000  0.500  0.500 [2 per cell]

Arrangement 2

A geometry-optimized Be2AlBr structure. Source: Alexandria, functional GGA-PBEsol.

a b c (Å): 3.001 3.990 5.371
angles (deg): 90.00 90.00 90.00
Space group Pmmm (No. 47)
Inequivalent atoms, fractional coordinates:
Be  0.000  0.000  0.000 [1 per cell]
Be  0.500  0.000  0.500 [1 per cell]
Al  0.000  0.500  0.500 [1 per cell]
Br  0.500  0.500  0.000 [1 per cell]

Which structure is most stable, and how do the rest compare? From most to least stable: arrangement 1, arrangement 2.